DFT (PBE) results for Al2CrNi after structural relaxation.

For the formation energy, the calculation gives -0.329 eV/atom. The density of states at the Fermi level comes out at 2.17 states/eV per cell.

a = 2.9338 Å, b = 2.9363 Å, c = 6.6758 Å
α = 63.89°, β = 90.00°, γ = 90.00°
Closest atoms and distances in Å follow each position.
Element x y z (fractional)
Ni  0.5000  0.7500  0.7500  8 Al 2.52
Al  0.0000  0.0114  0.9885  4 Ni 2.52, 4 Cr 2.60
Al  0.0000  0.4886  0.5115  4 Ni 2.52, 4 Cr 2.60
Cr  0.5000  0.2500  0.2500  8 Al 2.60

DFT (PBE) results for Al2CrNi after structural relaxation.

For the formation energy, the calculation gives -0.121 eV/atom. The density of states at the Fermi level comes out at 3.67 states/eV per cell.

a = 2.6821 Å, b = 3.7038 Å, c = 5.2447 Å
α = 90.00°, β = 90.00°, γ = 90.00°
Closest atoms and distances in Å follow each position.
Element x y z (fractional)
Ni  0.5000  0.5000  0.7599  6 Al 2.56-2.67, 4 Cr 2.68, 2 Ni 2.68
Al  0.0000  0.0000  0.9786  2 Cr 2.55-2.70, 4 Ni 2.56, 6 Al 2.68-2.75
Al  0.5000  0.5000  0.2684  4 Cr 2.57, 2 Ni 2.58-2.67, 6 Al 2.68-2.75
Cr  0.0000  0.0000  0.4931  6 Al 2.55-2.70, 4 Ni 2.68, 2 Cr 2.68

DFT (PBE) results for AlCrNi2 after structural relaxation.

For the formation energy, the calculation gives 0.298 eV/atom. The density of states at the Fermi level comes out at 5.30 states/eV per cell.

a = 3.5428 Å, b = 3.5428 Å, c = 8.5911 Å
α = 78.10°, β = 78.10°, γ = 90.00°
Closest atoms and distances in Å follow each position.
Element x y z (fractional)
Ni  0.6268  0.1250  0.2500  2 Cr 2.40, 2 Al 2.41, 4 Ni 2.50-2.51
Ni  0.1232  0.6250  0.2500  2 Cr 2.40, 2 Al 2.41, 4 Ni 2.50-2.51
Ni  0.3750  0.3732  0.7500  2 Cr 2.40, 2 Al 2.41, 4 Ni 2.50-2.51
Ni  0.8750  0.8768  0.7500  2 Cr 2.40, 2 Al 2.41, 4 Ni 2.50-2.51
Al  0.5000  0.5000  0.0000  4 Ni 2.41, 4 Cr 2.51
Al  0.2500  0.7500  0.5000  4 Ni 2.41, 4 Cr 2.51
Cr  0.0000  0.0000  0.0000  4 Ni 2.40, 4 Al 2.51
Cr  0.7500  0.2500  0.5000  4 Ni 2.40, 4 Al 2.51